Here is a relaxed structure of KCuAg2 from Alexandria. Energies are from PBE.

abc: 4.8464 4.8464 6.9122
angles: 96.85 96.85 37.03
Fractional positions:
K (0.0000, 0.0000, 0.0000)
Cu (0.2358, 0.2358, 0.6495)
Ag (0.5062, 0.5062, 0.5363)
Ag (0.7691, 0.7691, 0.3433)

The uncorrected energy is -2.477 eV per atom. The formation energy from the elements comes out at 247 meV per atom.